The following is a GGA-PBE calculation of an optimized crystal structure of Y2ThCd, from the Alexandria database.

As for the offset from the most stable computed form: 271 meV per atom. As for the total energy: -5.219 eV per atom. For the total magnetic moment, the calculation gives 1.5 Bohr magnetons per cell. For the energy of formation from the pure elements, the calculation gives 97 meV per atom.

abc: 5.5056 5.5056 5.5056
angles: 60.00 60.00 60.00
Site moments in Bohr magnetons follow the coordinates.
Fractional positions:
1 Y 0.2500 0.2500 0.2500  0.20
2 Y 0.7500 0.7500 0.7500  0.20
3 Th 0.0000 0.0000 0.0000  0.47
4 Cd 0.5000 0.5000 0.5000  0.00